(1)
A plane-wave DFT calculation with PBE was carried out for Tl2ZnSnF6 after structural relaxation.

Results
Space group: Fm-3m, No. 225
Calculated volume (Å³ per cell): 158.7

a = 6.0769 Å, b = 6.0769 Å, c = 6.0769 Å
α = 60.00°, β = 60.00°, γ = 60.00°
Positions (direct):
F  0.7336  0.2664  0.2664
F  0.2664  0.7336  0.2664
F  0.7336  0.7336  0.2664
F  0.2664  0.2664  0.7336
F  0.7336  0.2664  0.7336
F  0.2664  0.7336  0.7336
Sn  0.0000  0.0000  0.0000
Tl  0.2500  0.2500  0.2500
Tl  0.7500  0.7500  0.7500
Zn  0.5000  0.5000  0.5000

---

(2)
A plane-wave DFT calculation with PBE was carried out for Tm2SnF8 after structural relaxation.

Results
Space group: C2/m, No. 12
Calculated volume (Å³ per cell): 134.0

a = 6.0049 Å, b = 6.0049 Å, c = 4.0982 Å
α = 96.51°, β = 96.51°, γ = 112.17°
Positions (direct):
F  0.7507  0.2493  0.0000
F  0.2493  0.7507  0.0000
F  0.3809  0.3809  0.2010
F  0.9439  0.6738  0.4207
F  0.6738  0.9439  0.4207
F  0.3262  0.0561  0.5793
F  0.0561  0.3262  0.5793
F  0.6191  0.6191  0.7990
Sn  0.0000  0.0000  0.0000
Tm  0.6779  0.3221  0.5000
Tm  0.3221  0.6779  0.5000

---

(3)
A plane-wave DFT calculation with PBE was carried out for SrTmF after structural relaxation.

Results
Space group: Amm2, No. 38
Calculated volume (Å³ per cell): 238.2

a = 5.7285 Å, b = 6.7761 Å, c = 6.7761 Å
α = 115.08°, β = 90.00°, γ = 90.00°
Site moments in Bohr magnetons follow the coordinates.
Positions (direct):
F  0.0000  0.0476  0.0476  0.00
F  0.0000  0.5586  0.3215  0.00
F  0.0000  0.3215  0.5586  0.00
Sr  0.0000  0.9320  0.3265  0.01
Sr  0.0000  0.7187  0.7187  0.01
Sr  0.0000  0.3265  0.9320  0.01
Tm  0.5000  0.6731  0.0092  0.09
Tm  0.5000  0.4128  0.4128  0.04
Tm  0.5000  0.0092  0.6731  0.10

---

| no. | total DFT energy (no corrections) (eV for the cell shown) |
| --- | --- |
| 1 | -41.559 |
| 2 | -67.414 |
| 3 | -35.297 |